# 1
# DyThNi2, optimized geometry, DFT GGA-PBE
# - E (eV per atom) = -6.25
# - formation energy from the elements (eV/atom) = -0.46
data_DyThNi2
_cell_length_a 3.659
_cell_length_b 4.334
_cell_length_c 5.507
_cell_angle_alpha 90.00
_cell_angle_beta 109.24
_cell_angle_gamma 90.00
_space_group_name_H-M_alt 'P 1'
_space_group_IT_number 1
_space_group_name_Hall 'P 1'
loop_
_atom_site_label
_atom_site_fract_x
_atom_site_fract_y
_atom_site_fract_z
_atom_site_occupancy
Th1 0.448 0.500 0.434 1
Dy1 0.720 0.000 0.981 1
Ni1 0.002 0.000 0.542 1
Ni2 0.161 0.500 0.861 1

***

# 2
# SmNbC2I2, optimized geometry, DFT GGA-PBE
# - E (eV per atom) = -6.56
data_SmNbC2I2
_cell_length_a 4.320
_cell_length_b 4.320
_cell_length_c 10.671
_cell_angle_alpha 96.18
_cell_angle_beta 96.18
_cell_angle_gamma 51.09
_space_group_name_H-M_alt 'P 1'
_space_group_IT_number 1
_space_group_name_Hall 'P 1'
loop_
_atom_site_label
_atom_site_fract_x
_atom_site_fract_y
_atom_site_fract_z
_atom_site_occupancy
I1 0.147 0.147 0.178 1
I2 0.769 0.769 0.807 1
C1 0.430 0.430 0.540 1
C2 0.591 0.591 0.496 1
Sm1 0.858 0.858 0.382 1
Nb1 0.205 0.205 0.598 1

***

# 3
# SmHfW, optimized geometry, DFT GGA-PBE
# - E (eV per atom) = -8.46
# - formation energy from the elements (eV/atom) = 0.75
data_SmHfW
_cell_length_a 4.729
_cell_length_b 4.729
_cell_length_c 4.729
_cell_angle_alpha 60.00
_cell_angle_beta 60.00
_cell_angle_gamma 60.00
_space_group_name_H-M_alt 'P 1'
_space_group_IT_number 1
_space_group_name_Hall 'P 1'
loop_
_atom_site_label
_atom_site_fract_x
_atom_site_fract_y
_atom_site_fract_z
_atom_site_occupancy
Hf1 0.250 0.250 0.250 1
Sm1 0.750 0.750 0.750 1
W1 0.000 0.000 0.000 1

***

# 4
# Cu5Ag2, optimized geometry, DFT GGA-PBE
# - E (eV per atom) = -3.37
# - formation energy from the elements (eV/atom) = 0.09
data_Cu5Ag2
_cell_length_a 15.281
_cell_length_b 15.281
_cell_length_c 15.281
_cell_angle_alpha 10.16
_cell_angle_beta 10.16
_cell_angle_gamma 10.16
_space_group_name_H-M_alt 'P 1'
_space_group_IT_number 1
_space_group_name_Hall 'P 1'
loop_
_atom_site_label
_atom_site_fract_x
_atom_site_fract_y
_atom_site_fract_z
_atom_site_occupancy
Cu1 0.922 0.922 0.922 1
Cu2 0.789 0.789 0.789 1
Cu3 0.500 0.500 0.500 1
Cu4 0.211 0.211 0.211 1
Cu5 0.078 0.078 0.078 1
Ag1 0.362 0.362 0.362 1
Ag2 0.638 0.638 0.638 1